Entry 1:
# LuBeMo2

A relaxed LuBeMo2 crystal (PBE-GGA, the Open Quantum Materials Database).

CIF file:
```
data_LuBeMo2
_space_group_name_H-M_alt 'P 1'
_space_group_IT_number 1
_space_group_name_Hall 'P 1'
_cell_length_a 4.525
_cell_length_b 4.525
_cell_length_c 4.525
_cell_angle_alpha 60.00
_cell_angle_beta 60.00
_cell_angle_gamma 60.00
loop_
_atom_site_label
_atom_site_type_symbol
_atom_site_fract_x
_atom_site_fract_y
_atom_site_fract_z
Lu1 Lu 0.000 0.000 0.000
Be1 Be 0.750 0.750 0.750
Mo1 Mo 0.250 0.250 0.250
Mo2 Mo 0.500 0.500 0.500
```

Symmetry: F-43m, No. 216
Final energy, eV/atom: -7.26

---

Entry 2:
# LuBeMo

A relaxed LuBeMo crystal (PBE-GGA, the Open Quantum Materials Database).

CIF file:
```
data_LuBeMo
_space_group_name_H-M_alt 'P 1'
_space_group_IT_number 1
_space_group_name_Hall 'P 1'
_cell_length_a 4.427
_cell_length_b 4.427
_cell_length_c 4.427
_cell_angle_alpha 60.00
_cell_angle_beta 60.00
_cell_angle_gamma 60.00
loop_
_atom_site_label
_atom_site_type_symbol
_atom_site_fract_x
_atom_site_fract_y
_atom_site_fract_z
Lu1 Lu 0.000 0.000 0.000
Be1 Be 0.500 0.500 0.500
Mo1 Mo 0.750 0.750 0.750
```

Energy above the lowest structure with this stoichiometry, kJ/mol of atoms: 0.0
Symmetry: F-43m, No. 216
Final energy, eV/atom: -5.27

---

Entry 3:
# LuBeMo

A relaxed LuBeMo crystal (PBE-GGA, the Open Quantum Materials Database).

CIF file:
```
data_LuBeMo
_space_group_name_H-M_alt 'P 1'
_space_group_IT_number 1
_space_group_name_Hall 'P 1'
_cell_length_a 4.428
_cell_length_b 4.428
_cell_length_c 4.428
_cell_angle_alpha 60.00
_cell_angle_beta 60.00
_cell_angle_gamma 60.00
loop_
_atom_site_label
_atom_site_type_symbol
_atom_site_fract_x
_atom_site_fract_y
_atom_site_fract_z
Lu1 Lu 0.000 0.000 0.000
Be1 Be 0.750 0.750 0.750
Mo1 Mo 0.250 0.250 0.250
```

Energy above the lowest structure with this stoichiometry, kJ/mol of atoms: 36.6
Symmetry: F-43m, No. 216
Final energy, eV/atom: -4.89

---

Entry 4:
# NaLuBeS3

A relaxed NaLuBeS3 crystal (PBE-GGA, the Open Quantum Materials Database).

CIF file:
```
data_NaLuBeS3
_space_group_name_H-M_alt 'P 1'
_space_group_IT_number 1
_space_group_name_Hall 'P 1'
_cell_length_a 6.718
_cell_length_b 6.718
_cell_length_c 10.251
_cell_angle_alpha 90.00
_cell_angle_beta 90.00
_cell_angle_gamma 147.78
loop_
_atom_site_label
_atom_site_type_symbol
_atom_site_fract_x
_atom_site_fract_y
_atom_site_fract_z
Na1 Na 0.249 0.751 0.750
Na2 Na 0.751 0.249 0.250
Lu1 Lu 0.500 0.500 0.000
Lu2 Lu 0.500 0.500 0.500
Be1 Be 0.036 0.964 0.250
Be2 Be 0.964 0.036 0.750
S1 S 0.128 0.872 0.084
S2 S 0.128 0.872 0.416
S3 S 0.434 0.566 0.250
S4 S 0.566 0.434 0.750
S5 S 0.872 0.128 0.584
S6 S 0.872 0.128 0.916
```

Symmetry: Cmcm, No. 63
Final energy, eV/atom: -5.17